# PBE-GGA Tb6Sm3DyHo2, optimized geometry
data_Tb6Sm3DyHo2
_chemical_formula_sum 'Tb12 Sm6 Dy2 Ho4'
_cell_length_a 6.185
_cell_length_b 10.705
_cell_length_c 11.826
_cell_angle_alpha 90.00
_cell_angle_beta 99.99
_cell_angle_gamma 90.00
_symmetry_space_group_name_H-M 'C 1 2/m 1'
_symmetry_Int_Tables_number 12
loop_
_symmetry_equiv_pos_as_xyz
'x,y,z'
'-x,-y,-z'
'-x,y,-z'
'x,-y,z'
'x+1/2,y+1/2,z'
'-x+1/2,-y+1/2,-z'
'-x+1/2,y+1/2,-z'
'x+1/2,-y+1/2,z'
loop_
_atom_site_label
_atom_site_type_symbol
_atom_site_fract_x
_atom_site_fract_y
_atom_site_fract_z
Tb1 Tb 0.249 0.000 0.247
Tb2 Tb 0.250 0.167 0.753
Sm1 Sm 0.000 0.000 0.500
Sm2 Sm 0.000 0.333 0.500
Dy1 Dy 0.000 0.500 0.000
Ho1 Ho 0.000 0.167 0.000
# Total DFT energy (no corrections) (eV per atom): -4.63
# ΔH_f (0 K) (meV/atom): 15
# Volume (Å³/cell): 771.15
# D(E_F) (states/eV/atom): 1.288